Entry 1:
First-principles (PBE-GGA) data for a relaxed Y2AgB2Rh5 crystal, as listed in Alexandria via LeMat-Bulk.

```
data_Y2AgB2Rh5
_chemical_formula_sum 'Y4 Ag2 B4 Rh10'
_space_group_name_H-M_alt 'P 1'
_space_group_IT_number 1
_cell_length_a 9.628
_cell_length_b 9.628
_cell_length_c 3.228
_cell_angle_alpha 90.00
_cell_angle_beta 90.00
_cell_angle_gamma 90.00
loop_
_space_group_symop_operation_xyz
'x,y,z'
loop_
_atom_site_label
_atom_site_type_symbol
_atom_site_fract_x
_atom_site_fract_y
_atom_site_fract_z
Y1 Y 0.176 0.324 0.000
Y2 Y 0.324 0.824 0.000
Y3 Y 0.676 0.176 0.000
Y4 Y 0.824 0.676 0.000
Ag1 Ag 0.000 0.000 0.000
Ag2 Ag 0.500 0.500 0.000
B1 B 0.123 0.623 0.000
B2 B 0.377 0.123 0.000
B3 B 0.623 0.877 0.000
B4 B 0.877 0.377 0.000
Rh1 Rh 0.000 0.500 0.500
Rh2 Rh 0.071 0.773 0.500
Rh3 Rh 0.227 0.071 0.500
Rh4 Rh 0.273 0.571 0.500
Rh5 Rh 0.429 0.273 0.500
Rh6 Rh 0.500 0.000 0.500
Rh7 Rh 0.571 0.727 0.500
Rh8 Rh 0.727 0.429 0.500
Rh9 Rh 0.773 0.929 0.500
Rh10 Rh 0.929 0.227 0.500
```

Results
- DFT total energy: -7.215 eV per atom
- Crystal system: tetragonal
- Symmetry: P4/mbm

Entry 2:
First-principles (PBE-GGA) data for a relaxed AgB2Ru crystal, as listed in Alexandria via LeMat-Bulk.

```
data_AgB2Ru
_chemical_formula_sum 'Ag1 B2 Ru1'
_space_group_name_H-M_alt 'P 1'
_space_group_IT_number 1
_cell_length_a 3.948
_cell_length_b 3.948
_cell_length_c 3.948
_cell_angle_alpha 60.00
_cell_angle_beta 60.00
_cell_angle_gamma 60.00
loop_
_space_group_symop_operation_xyz
'x,y,z'
loop_
_atom_site_label
_atom_site_type_symbol
_atom_site_fract_x
_atom_site_fract_y
_atom_site_fract_z
Ag1 Ag 0.000 0.000 0.000
B1 B 0.250 0.250 0.250
B2 B 0.750 0.750 0.750
Ru1 Ru 0.500 0.500 0.500
```

Results
- Offset from the most stable computed form: 16.54 kJ per mole of atoms
- Crystal system: cubic
- Symmetry: Fm-3m

Entry 3:
First-principles (PBE-GGA) data for a relaxed Ag3BRu crystal, as listed in Alexandria via LeMat-Bulk.

```
data_Ag3BRu
_chemical_formula_sum 'Ag3 B1 Ru1'
_space_group_name_H-M_alt 'P 1'
_space_group_IT_number 1
_cell_length_a 4.312
_cell_length_b 4.312
_cell_length_c 4.312
_cell_angle_alpha 90.00
_cell_angle_beta 90.00
_cell_angle_gamma 90.00
loop_
_space_group_symop_operation_xyz
'x,y,z'
loop_
_atom_site_label
_atom_site_type_symbol
_atom_site_fract_x
_atom_site_fract_y
_atom_site_fract_z
Ag1 Ag 0.000 0.000 0.500
Ag2 Ag 0.000 0.500 0.000
Ag3 Ag 0.500 0.000 0.000
B1 B 0.000 0.000 0.000
Ru1 Ru 0.500 0.500 0.500
```

Results
- Offset from the most stable computed form: 0.00 kJ per mole of atoms
- Crystal system: cubic
- Symmetry: Pm-3m

Entry 4:
First-principles (PBE-GGA) data for a relaxed Ag3BRu crystal, as listed in Alexandria via LeMat-Bulk.

```
data_Ag3BRu
_chemical_formula_sum 'Ag3 B1 Ru1'
_space_group_name_H-M_alt 'P 1'
_space_group_IT_number 1
_cell_length_a 5.084
_cell_length_b 5.084
_cell_length_c 5.084
_cell_angle_alpha 90.00
_cell_angle_beta 90.00
_cell_angle_gamma 90.00
loop_
_space_group_symop_operation_xyz
'x,y,z'
loop_
_atom_site_label
_atom_site_type_symbol
_atom_site_fract_x
_atom_site_fract_y
_atom_site_fract_z
Ag1 Ag 0.000 0.000 0.500
Ag2 Ag 0.000 0.500 0.000
Ag3 Ag 0.500 0.000 0.000
B1 B 0.500 0.500 0.500
Ru1 Ru 0.000 0.000 0.000
```

Results
- Offset from the most stable computed form: 120.21 kJ per mole of atoms
- Crystal system: cubic
- Symmetry: Pm-3m

Entry 5:
First-principles (PBE-GGA) data for a relaxed AgBRu2 crystal, as listed in Alexandria via LeMat-Bulk.

```
data_AgBRu2
_chemical_formula_sum 'Ag2 B2 Ru4'
_space_group_name_H-M_alt 'P 1'
_space_group_IT_number 1
_cell_length_a 7.205
_cell_length_b 7.205
_cell_length_c 7.205
_cell_angle_alpha 142.53
_cell_angle_beta 142.53
_cell_angle_gamma 54.04
loop_
_space_group_symop_operation_xyz
'x,y,z'
loop_
_atom_site_label
_atom_site_type_symbol
_atom_site_fract_x
_atom_site_fract_y
_atom_site_fract_z
Ag1 Ag 0.000 0.000 0.000
Ag2 Ag 0.750 0.250 0.500
B1 B 0.250 0.750 0.500
B2 B 0.500 0.500 0.000
Ru1 Ru 0.261 0.625 0.136
Ru2 Ru 0.375 0.511 0.636
Ru3 Ru 0.489 0.125 0.864
Ru4 Ru 0.875 0.739 0.364
```

Results
- DFT total energy: -6.014 eV per atom
- Crystal system: tetragonal
- Symmetry: I-42d

Entry 6:
First-principles (PBE-GGA) data for a relaxed AgB2Ru crystal, as listed in Alexandria via LeMat-Bulk.

```
data_AgB2Ru
_chemical_formula_sum 'Ag2 B4 Ru2'
_space_group_name_H-M_alt 'P 1'
_space_group_IT_number 1
_cell_length_a 5.999
_cell_length_b 5.999
_cell_length_c 5.999
_cell_angle_alpha 131.98
_cell_angle_beta 131.98
_cell_angle_gamma 70.26
loop_
_space_group_symop_operation_xyz
'x,y,z'
loop_
_atom_site_label
_atom_site_type_symbol
_atom_site_fract_x
_atom_site_fract_y
_atom_site_fract_z
Ag1 Ag 0.000 0.000 0.000
Ag2 Ag 0.750 0.250 0.500
B1 B 0.178 0.625 0.053
B2 B 0.375 0.428 0.553
B3 B 0.572 0.125 0.947
B4 B 0.875 0.822 0.447
Ru1 Ru 0.250 0.750 0.500
Ru2 Ru 0.500 0.500 0.000
```

Results
- Offset from the most stable computed form: 0.00 kJ per mole of atoms
- Crystal system: tetragonal
- Symmetry: I-42d

Entry 7:
First-principles (PBE-GGA) data for a relaxed Ag2BRu crystal, as listed in Alexandria via LeMat-Bulk.

```
data_Ag2BRu
_chemical_formula_sum 'Ag4 B2 Ru2'
_space_group_name_H-M_alt 'P 1'
_space_group_IT_number 1
_cell_length_a 10.187
_cell_length_b 10.187
_cell_length_c 10.187
_cell_angle_alpha 160.09
_cell_angle_beta 160.09
_cell_angle_gamma 28.31
loop_
_space_group_symop_operation_xyz
'x,y,z'
loop_
_atom_site_label
_atom_site_type_symbol
_atom_site_fract_x
_atom_site_fract_y
_atom_site_fract_z
Ag1 Ag 0.122 0.625 0.997
Ag2 Ag 0.375 0.372 0.497
Ag3 Ag 0.628 0.125 0.003
Ag4 Ag 0.875 0.878 0.503
B1 B 0.000 0.000 0.000
B2 B 0.750 0.250 0.500
Ru1 Ru 0.250 0.750 0.500
Ru2 Ru 0.500 0.500 0.000
```

Results
- DFT total energy: -4.378 eV per atom
- Crystal system: tetragonal
- Symmetry: I-42d

Entry 8:
First-principles (PBE-GGA) data for a relaxed TaAgB2Ru crystal, as listed in Alexandria via LeMat-Bulk.

```
data_TaAgB2Ru
_chemical_formula_sum 'Ta1 Ag1 B2 Ru1'
_space_group_name_H-M_alt 'P 1'
_space_group_IT_number 1
_cell_length_a 4.089
_cell_length_b 4.089
_cell_length_c 4.915
_cell_angle_alpha 90.00
_cell_angle_beta 90.00
_cell_angle_gamma 90.00
loop_
_space_group_symop_operation_xyz
'x,y,z'
loop_
_atom_site_label
_atom_site_type_symbol
_atom_site_fract_x
_atom_site_fract_y
_atom_site_fract_z
Ta1 Ta 0.000 0.000 0.000
Ag1 Ag 0.500 0.500 0.000
B1 B 0.000 0.500 0.500
B2 B 0.500 0.000 0.500
Ru1 Ru 0.000 0.000 0.500
```

Results
- DFT total energy: -6.379 eV per atom
- Crystal system: tetragonal
- Symmetry: P4/mmm

Entry 9:
First-principles (PBE-GGA) data for a relaxed Y2AgBRu crystal, as listed in Alexandria via LeMat-Bulk.

```
data_Y2AgBRu
_chemical_formula_sum 'Y2 Ag1 B1 Ru1'
_space_group_name_H-M_alt 'P 1'
_space_group_IT_number 1
_cell_length_a 5.131
_cell_length_b 5.131
_cell_length_c 3.928
_cell_angle_alpha 90.00
_cell_angle_beta 90.00
_cell_angle_gamma 90.00
loop_
_space_group_symop_operation_xyz
'x,y,z'
loop_
_atom_site_label
_atom_site_type_symbol
_atom_site_fract_x
_atom_site_fract_y
_atom_site_fract_z
Y1 Y 0.000 0.500 0.000
Y2 Y 0.500 0.000 0.000
Ag1 Ag 0.000 0.000 0.500
B1 B 0.500 0.500 0.000
Ru1 Ru 0.500 0.500 0.500
```

Results
- DFT total energy: -6.622 eV per atom
- Crystal system: tetragonal
- Symmetry: P4/mmm

Entry 10:
First-principles (PBE-GGA) data for a relaxed Ag4BS5 crystal, as listed in Alexandria via LeMat-Bulk.

```
data_Ag4BS5
_chemical_formula_sum 'Ag4 B1 S5'
_space_group_name_H-M_alt 'P 1'
_space_group_IT_number 1
_cell_length_a 6.414
_cell_length_b 6.414
_cell_length_c 6.414
_cell_angle_alpha 99.72
_cell_angle_beta 99.72
_cell_angle_gamma 131.48
loop_
_space_group_symop_operation_xyz
'x,y,z'
loop_
_atom_site_label
_atom_site_type_symbol
_atom_site_fract_x
_atom_site_fract_y
_atom_site_fract_z
Ag1 Ag 0.118 0.717 0.835
Ag2 Ag 0.283 0.118 0.401
Ag3 Ag 0.717 0.882 0.599
Ag4 Ag 0.882 0.283 0.165
B1 B 0.433 0.433 0.000
S1 S 0.071 0.071 0.000
S2 S 0.260 0.452 0.699
S3 S 0.452 0.754 0.193
S4 S 0.561 0.260 0.807
S5 S 0.754 0.561 0.301
```

Results
- DFT total energy: -3.782 eV per atom
- Crystal system: tetragonal
- Symmetry: I4

Entry 11:
First-principles (PBE-GGA) data for a relaxed AgBS2 crystal, as listed in Alexandria via LeMat-Bulk.

```
data_AgBS2
_chemical_formula_sum 'Ag1 B1 S2'
_space_group_name_H-M_alt 'P 1'
_space_group_IT_number 1
_cell_length_a 7.314
_cell_length_b 7.314
_cell_length_c 7.314
_cell_angle_alpha 25.06
_cell_angle_beta 25.06
_cell_angle_gamma 25.06
loop_
_space_group_symop_operation_xyz
'x,y,z'
loop_
_atom_site_label
_atom_site_type_symbol
_atom_site_fract_x
_atom_site_fract_y
_atom_site_fract_z
Ag1 Ag 0.000 0.000 0.000
B1 B 0.500 0.500 0.500
S1 S 0.113 0.113 0.113
S2 S 0.887 0.887 0.887
```

Results
- DFT total energy: -4.193 eV per atom
- Crystal system: trigonal
- Symmetry: R-3m

Entry 12:
First-principles (PBE-GGA) data for a relaxed AgB2S3 crystal, as listed in Alexandria via LeMat-Bulk.

```
data_AgB2S3
_chemical_formula_sum 'Ag2 B4 S6'
_space_group_name_H-M_alt 'P 1'
_space_group_IT_number 1
_cell_length_a 7.913
_cell_length_b 7.913
_cell_length_c 11.421
_cell_angle_alpha 129.36
_cell_angle_beta 129.36
_cell_angle_gamma 22.00
loop_
_space_group_symop_operation_xyz
'x,y,z'
loop_
_atom_site_label
_atom_site_type_symbol
_atom_site_fract_x
_atom_site_fract_y
_atom_site_fract_z
Ag1 Ag 0.164 0.164 0.228
Ag2 Ag 0.836 0.836 0.772
B1 B 0.170 0.170 0.668
B2 B 0.483 0.483 0.668
B3 B 0.517 0.517 0.332
B4 B 0.830 0.830 0.332
S1 S 0.109 0.109 0.457
S2 S 0.363 0.363 0.264
S3 S 0.496 0.496 0.152
S4 S 0.504 0.504 0.848
S5 S 0.637 0.637 0.736
S6 S 0.891 0.891 0.543
```

Results
- DFT total energy: -4.784 eV per atom
- Crystal system: monoclinic
- Symmetry: C2/m

Question: Number 6 is which compound?
Answer: AgB2Ru

Copy entry 8 word for word.
First-principles (PBE-GGA) data for a relaxed TaAgB2Ru crystal, as listed in Alexandria via LeMat-Bulk.

```
data_TaAgB2Ru
_chemical_formula_sum 'Ta1 Ag1 B2 Ru1'
_space_group_name_H-M_alt 'P 1'
_space_group_IT_number 1
_cell_length_a 4.089
_cell_length_b 4.089
_cell_length_c 4.915
_cell_angle_alpha 90.00
_cell_angle_beta 90.00
_cell_angle_gamma 90.00
loop_
_space_group_symop_operation_xyz
'x,y,z'
loop_
_atom_site_label
_atom_site_type_symbol
_atom_site_fract_x
_atom_site_fract_y
_atom_site_fract_z
Ta1 Ta 0.000 0.000 0.000
Ag1 Ag 0.500 0.500 0.000
B1 B 0.000 0.500 0.500
B2 B 0.500 0.000 0.500
Ru1 Ru 0.000 0.000 0.500
```

Results
- DFT total energy: -6.379 eV per atom
- Crystal system: tetragonal
- Symmetry: P4/mmm